Entry 1:
This record from Alexandria via LeMat-Bulk describes a geometry-optimized YZrSn structure. The functional is GGA-PBE.

a = 5.043 Å, b = 5.043 Å, c = 3.558 Å
α = 90.00°, β = 90.00°, γ = 120.00°
Atoms (fractional coordinates):
1 Y 0.000 0.000 0.000
2 Zr 0.667 0.333 0.463
3 Sn 0.333 0.667 0.614

Computed properties:
* space-group type: P3m1 (156)

Entry 2:
This record from Alexandria via LeMat-Bulk describes a geometry-optimized Cs2K5Au2 structure. The functional is GGA-PBE.

a = 8.018 Å, b = 8.018 Å, c = 14.443 Å
α = 92.85°, β = 92.85°, γ = 37.33°
Atoms (fractional coordinates):
1 Cs 0.070 0.070 0.274
2 Cs 0.930 0.930 0.726
3 K 0.206 0.206 0.874
4 K 0.356 0.356 0.430
5 K 0.500 0.500 0.000
6 K 0.644 0.644 0.570
7 K 0.794 0.794 0.126
8 Au 0.411 0.411 0.212
9 Au 0.589 0.589 0.788

Computed properties:
* space-group type: C2/m (12)

Number 1: mass density 6.3 Mg/m³, total magnetic moment 0.00 μB per cell, energy of formation from the pure elements -0.21 eV/atom. Number 2: mass density 2.5 Mg/m³, total magnetic moment 0.00 μB per cell, energy of formation from the pure elements -0.14 eV/atom.